[1]
PdPb: relaxed, PBE-GGA.

Summary:
- total magnetization (μB/atom) = 0.00
- crystal system = orthorhombic

a = 6.5797 Å, b = 8.3158 Å, c = 14.1947 Å
α = 90.00°, β = 90.00°, γ = 90.00°
Last column: nearest neighbours and their distance in Å.
Space group Fddd (No. 70, origin choice 2)
One atom of each set of equivalent atoms:
1 Pd 0.1250 0.1250 0.0291 x16  3 Pd 2.72-2.78, 4 Pb 2.78-2.92
2 Pb 0.1250 0.3149 0.6250 x16  4 Pd 2.78-2.92

[2]
Pm6Pd2Pb: relaxed, PBE-GGA.

Summary:
- total magnetization (μB/atom) = 0.00
- crystal system = orthorhombic

a = 9.6038 Å, b = 10.2353 Å, c = 10.8005 Å
α = 90.00°, β = 90.00°, γ = 90.00°
Last column: nearest neighbours and their distance in Å.
Space group Immm (No. 71)
One atom of each set of equivalent atoms:
1 Pm 0.0000 0.2016 0.2336 x8  1 Pd 2.95, 1 Pb 3.26
2 Pm 0.1970 0.5000 0.1752 x8  3 Pd 2.84-3.08
3 Pm 0.2091 0.3158 0.5000 x8  3 Pd 3.09-3.28, 1 Pb 3.37
4 Pd 0.0000 0.3516 0.0000 x4  8 Pm 2.95-3.28, 1 Pd 3.04
5 Pd 0.0000 0.5000 0.3712 x4  1 Pd 2.78, 6 Pm 2.84-3.09
6 Pb 0.0000 0.0000 0.0000 x2  8 Pm 3.26-3.37, 2 Pd 3.60
7 Pb 0.0000 0.0000 0.5000 x2  12 Pm 3.47-3.81

[3]
PmPd6Pb: relaxed, PBE-GGA.

Summary:
- total magnetization (μB/atom) = 0.00
- crystal system = tetragonal

a = 4.1666 Å, b = 4.1666 Å, c = 8.2256 Å
α = 90.00°, β = 90.00°, γ = 90.00°
Last column: nearest neighbours and their distance in Å.
Space group P4/mmm (No. 123)
One atom of each set of equivalent atoms:
1 Pm 0.0000 0.0000 0.0000 x1  12 Pd 2.95-2.96
2 Pd 0.0000 0.5000 0.2561 x4  2 Pb 2.89, 8 Pd 2.89-2.96, 2 Pm 2.96
3 Pd 0.5000 0.5000 0.0000 x1  4 Pm 2.95, 8 Pd 2.96
4 Pd 0.5000 0.5000 0.5000 x1  8 Pd 2.89, 4 Pb 2.95
5 Pb 0.0000 0.0000 0.5000 x1  12 Pd 2.89-2.95

[4]
Pm3PdPb3: relaxed, PBE-GGA.

Summary:
- total magnetization (μB/atom) = 0.00
- crystal system = monoclinic

a = 11.6898 Å, b = 4.6067 Å, c = 15.5903 Å
α = 90.00°, β = 108.78°, γ = 90.00°
Last column: nearest neighbours and their distance in Å.
Space group C2/m (No. 12)
One atom of each set of equivalent atoms:
1 Pm 0.0283 0.0000 0.3820 x4  7 Pb 3.24-3.62, 3 Pd 3.29-3.49
2 Pm 0.0972 0.0000 0.9227 x4  5 Pb 3.15-3.29
3 Pm 0.2323 0.0000 0.2355 x4  2 Pd 3.25, 6 Pb 3.29-3.44
4 Pd 0.2298 0.5000 0.3821 x4  4 Pb 2.78-2.97
5 Pb 0.0124 0.5000 0.2327 x4  1 Pd 2.84, 1 Pb 3.18
6 Pb 0.1329 0.5000 0.0770 x4  5 Pm 3.15-3.30, 2 Pb 3.18-3.26
7 Pb 0.1443 0.5000 0.5421 x4  3 Pd 2.78-2.97

[5]
Pm3Pd4Pb4: relaxed, PBE-GGA.

Summary:
- total magnetization (μB/atom) = 0.00
- crystal system = orthorhombic

a = 3.7481 Å, b = 4.9085 Å, c = 28.9195 Å
α = 90.00°, β = 90.00°, γ = 90.00°
Last column: nearest neighbours and their distance in Å.
Space group Immm (No. 71)
One atom of each set of equivalent atoms:
1 Pm 0.0000 0.0000 0.0000 x2  4 Pd 3.32, 8 Pb 3.45
2 Pm 0.0000 0.5000 0.1479 x4  6 Pd 3.16-3.45, 6 Pb 3.33
3 Pd 0.0000 0.0000 0.2641 x4  4 Pb 2.78-2.83
4 Pd 0.0000 0.5000 0.4052 x4  3 Pb 2.74-2.78
5 Pb 0.0000 0.0000 0.4471 x4  2 Pd 2.74, 1 Pb 3.06
6 Pb 0.0000 0.5000 0.3093 x4  5 Pd 2.78-2.83

[6]
Pm3Pd2Pb3: relaxed, PBE-GGA.

Summary:
- total magnetization (μB/atom) = 0.00
- crystal system = orthorhombic

a = 8.6214 Å, b = 15.9917 Å, c = 6.1211 Å
α = 90.00°, β = 90.00°, γ = 90.00°
Last column: nearest neighbours and their distance in Å.
Space group Pnma (No. 62)
One atom of each set of equivalent atoms:
1 Pm 0.0310 0.1111 0.1258 x8  2 Pd 3.21-3.23, 6 Pb 3.27-3.49
2 Pm 0.1707 0.2500 0.6424 x4  4 Pd 3.08-3.32, 4 Pb 3.25-3.44
3 Pd 0.0851 0.6159 0.3725 x8  4 Pb 2.76-2.97, 1 Pm 3.08
4 Pb 0.1888 0.7500 0.6356 x4  2 Pd 2.83
5 Pb 0.1977 0.0361 0.6035 x8  3 Pd 2.76-2.97

no.,energy of formation from the pure elements (eV/atom),E_tot (eV for the cell shown)
1,-0.04,-143.6
2,-0.49,-187.9
3,-0.54,-43.9
4,-0.60,-139.2
5,-0.53,-111.5
6,-0.63,-163.2